#a
Entry from Alexandria: crystalline In2PCl at its relaxed geometry (PBEsol).

Its density of states at the Fermi level is 4.40 states/eV per cell. The size of the total moment comes out at 0.000 μB/f.u.

The structure belongs to space group Fm-3m (No. 225); the cell edges are 6.943, 6.943 and 6.943 Å and the angles 90.00°, 90.00° and 90.00°. The asymmetric unit holds In at (0.250, 0.250, 0.250), P at (0.000, 0.000, 0.000) and Cl at (0.000, 0.000, 0.500).

#b
Entry from Alexandria: crystalline In2PCl at its relaxed geometry (PBEsol).

Its density of states at the Fermi level is 1.68 states/eV per cell. The size of the total moment comes out at 0.000 μB/f.u.

The structure belongs to space group P4mm (No. 99); the cell edges are 3.666, 3.666 and 7.927 Å and the angles 90.00°, 90.00° and 90.00°. The asymmetric unit holds In at (0.000, 0.000, 0.000), In at (0.500, 0.500, 0.464), P at (0.000, 0.000, 0.393) and Cl at (0.500, 0.500, 0.797).

Going by the energies, #a is most stable and the next is 1.3 kJ/mol of atoms up.

#a
Entry from Alexandria: crystalline InPCl2 at its relaxed geometry (PBEsol).

Its density of states at the Fermi level is 4.10 states/eV per cell. The size of the total moment comes out at 0.000 μB/f.u.

The structure belongs to space group R-3m (No. 166, hexagonal axes); the cell edges are 3.2267, 3.2267 and 26.7007 Å and the angles 90.00°, 90.00° and 120.00°. The asymmetric unit holds In at (0.0000, 0.0000, 0.0000), P at (0.0000, 0.0000, 0.5000) and Cl at (0.0000, 0.0000, 0.2430).

#b
Entry from Alexandria: crystalline InPCl2 at its relaxed geometry (PBEsol).

Its density of states at the Fermi level is 6.50 states/eV per cell. The size of the total moment comes out at 0.001 μB/f.u.

The structure belongs to space group I4/mmm (No. 139); the cell edges are 4.313, 4.313 and 8.548 Å and the angles 90.00°, 90.00° and 90.00°. The asymmetric unit holds In at (0.000, 0.000, 0.000), P at (0.000, 0.000, 0.500) and Cl at (0.000, 0.500, 0.250).

Going by the energies, #a is most stable and the next is 11.0 kJ/mol of atoms up.

#a
Entry from Alexandria: crystalline In2PtCl at its relaxed geometry (PBEsol).

Its density of states at the Fermi level is 3.22 states/eV per cell. The size of the total moment comes out at 0.000 μB/f.u.

The structure belongs to space group I-4m2 (No. 119); the cell edges are 3.867, 3.867 and 11.866 Å and the angles 90.00°, 90.00° and 90.00°. The asymmetric unit holds In at (0.000, 0.000, 0.000), In at (0.000, 0.500, 0.250), Pt at (0.000, 0.000, 0.500) and Cl at (0.000, 0.500, 0.750).

#b
Entry from Alexandria: crystalline In2PtCl at its relaxed geometry (PBEsol).

Its density of states at the Fermi level is 2.08 states/eV per cell. The size of the total moment comes out at 0.000 μB/f.u.

The structure belongs to space group C2/m (No. 12); the cell edges are 6.305, 3.857 and 7.610 Å and the angles 90.00°, 100.95° and 90.00°. The asymmetric unit holds In at (0.205, 0.000, 0.209), Pt at (0.000, 0.500, 0.000) and Cl at (0.000, 0.000, 0.500).

Going by the energies, #b is most stable and the next is 32.8 kJ/mol of atoms up.

#a
Entry from Alexandria: crystalline RbInCl2 at its relaxed geometry (PBEsol).

Its density of states at the Fermi level is 0.00 states/eV per cell. The size of the total moment comes out at 0.000 μB/f.u.

The structure belongs to space group I-42d (No. 122); the cell edges are 6.910, 6.910 and 14.937 Å and the angles 90.00°, 90.00° and 90.00°. The asymmetric unit holds Rb at (0.000, 0.000, 0.000), In at (0.000, 0.000, 0.500) and Cl at (0.229, 0.250, 0.625).

#b
Entry from Alexandria: crystalline RbInCl2 at its relaxed geometry (PBEsol).

Its density of states at the Fermi level is 0.00 states/eV per cell. The size of the total moment comes out at 0.001 μB/f.u.

The structure belongs to space group Fm-3m (No. 225); the cell edges are 7.619, 7.619 and 7.619 Å and the angles 90.00°, 90.00° and 90.00°. The asymmetric unit holds Rb at (0.000, 0.000, 0.000), In at (0.000, 0.000, 0.500) and Cl at (0.250, 0.250, 0.250).

Going by the energies, #b is most stable and the next is 7.5 kJ/mol of atoms up.

#a
Entry from Alexandria: crystalline InReCl2 at its relaxed geometry (PBEsol).

Its density of states at the Fermi level is 12.06 states/eV per cell. The size of the total moment comes out at 2.285 μB/f.u.

The structure belongs to space group Fm-3m (No. 225); the cell edges are 6.640, 6.640 and 6.640 Å and the angles 90.00°, 90.00° and 90.00°. The asymmetric unit holds In at (0.000, 0.000, 0.000), Re at (0.000, 0.000, 0.500) and Cl at (0.250, 0.250, 0.250).

#b
Entry from Alexandria: crystalline InReCl2 at its relaxed geometry (PBEsol).

Its density of states at the Fermi level is 2.80 states/eV per cell. The size of the total moment comes out at 1.183 μB/f.u.

The structure belongs to space group Pmmm (No. 47); the cell edges are 2.933, 4.513 and 5.401 Å and the angles 90.00°, 90.00° and 90.00°. The asymmetric unit holds In at (0.000, 0.000, 0.000), Re at (0.500, 0.000, 0.500), Cl at (0.000, 0.500, 0.500) and Cl at (0.500, 0.500, 0.000).

#c
Entry from Alexandria: crystalline InReCl2 at its relaxed geometry (PBEsol).

Its density of states at the Fermi level is 3.88 states/eV per cell. The size of the total moment comes out at 0.000 μB/f.u.

The structure belongs to space group Cmm2 (No. 35); the cell edges are 3.108, 5.678 and 9.126 Å and the angles 90.00°, 90.00° and 90.00°. The asymmetric unit holds In at (0.000, 0.000, 0.000), Re at (0.000, 0.500, 0.244), Cl at (0.000, 0.000, 0.435) and Cl at (0.000, 0.500, 0.779).

Going by the energies, #c is most stable and the next is 41.0 kJ/mol of atoms up.

#a
Entry from Alexandria: crystalline InSbCl2 at its relaxed geometry (PBEsol).

Its density of states at the Fermi level is 2.60 states/eV per cell. The size of the total moment comes out at 0.000 μB/f.u.

The structure belongs to space group P4/mmm (No. 123); the cell edges are 4.558, 4.558 and 4.413 Å and the angles 90.00°, 90.00° and 90.00°. The asymmetric unit holds In at (0.000, 0.000, 0.000), Sb at (0.500, 0.500, 0.000) and Cl at (0.000, 0.500, 0.500).

#b
Entry from Alexandria: crystalline InSbCl2 at its relaxed geometry (PBEsol).

Its density of states at the Fermi level is 1.19 states/eV per cell. The size of the total moment comes out at 0.000 μB/f.u.

The structure belongs to space group P4/mmm (No. 123); the cell edges are 3.284, 3.284 and 8.683 Å and the angles 90.00°, 90.00° and 90.00°. The asymmetric unit holds In at (0.000, 0.000, 0.000), Sb at (0.000, 0.000, 0.500) and Cl at (0.500, 0.500, 0.238).

#c
Entry from Alexandria: crystalline InSbCl2 at its relaxed geometry (PBEsol).

Its density of states at the Fermi level is 3.83 states/eV per cell. The size of the total moment comes out at 0.000 μB/f.u.

The structure belongs to space group Cmm2 (No. 35); the cell edges are 3.467, 5.877 and 9.841 Å and the angles 90.00°, 90.00° and 90.00°. The asymmetric unit holds In at (0.000, 0.000, 0.000), Sb at (0.000, 0.500, 0.287), Cl at (0.000, 0.000, 0.495) and Cl at (0.000, 0.500, 0.805).

Going by the energies, #c is most stable and the next is 1.9 kJ/mol of atoms up.

#a
Entry from Alexandria: crystalline InSe2Cl at its relaxed geometry (PBEsol).

Its density of states at the Fermi level is 9.70 states/eV per cell. The size of the total moment comes out at 0.001 μB/f.u.

The structure belongs to space group R-3m (No. 166, hexagonal axes); the cell edges are 3.9962, 3.9962 and 20.1264 Å and the angles 90.00°, 90.00° and 120.00°. The asymmetric unit holds In at (0.0000, 0.0000, 0.0000), Se at (0.0000, 0.0000, 0.2604) and Cl at (0.0000, 0.0000, 0.5000).

#b
Entry from Alexandria: crystalline InSe2Cl at its relaxed geometry (PBEsol).

Its density of states at the Fermi level is 2.39 states/eV per cell. The size of the total moment comes out at 0.000 μB/f.u.

The structure belongs to space group P4/mmm (No. 123); the cell edges are 3.874, 3.874 and 6.193 Å and the angles 90.00°, 90.00° and 90.00°. The asymmetric unit holds In at (0.000, 0.000, 0.000), Se at (0.000, 0.500, 0.500) and Cl at (0.500, 0.500, 0.000).

#c
Entry from Alexandria: crystalline InSe2Cl at its relaxed geometry (PBEsol).

Its density of states at the Fermi level is 0.22 states/eV per cell. The size of the total moment comes out at 0.000 μB/f.u.

The structure belongs to space group P2/m (No. 10); the cell edges are 5.076, 3.920 and 5.278 Å and the angles 90.00°, 108.11° and 90.00°. The asymmetric unit holds In at (0.000, 0.000, 0.000), Se at (0.396, 0.500, 0.171) and Cl at (0.000, 0.000, 0.500).

Going by the energies, #c is most stable and the next is 29.2 kJ/mol of atoms up.

#a
Entry from Alexandria: crystalline InSeCl2 at its relaxed geometry (PBEsol).

Its density of states at the Fermi level is 3.17 states/eV per cell. The size of the total moment comes out at 0.006 μB/f.u.

The structure belongs to space group Pmmm (No. 47); the cell edges are 3.242, 4.207 and 6.142 Å and the angles 90.00°, 90.00° and 90.00°. The asymmetric unit holds In at (0.000, 0.000, 0.000), Se at (0.000, 0.000, 0.500) and Cl at (0.500, 0.500, 0.247).

#b
Entry from Alexandria: crystalline InSeCl2 at its relaxed geometry (PBEsol).

Its density of states at the Fermi level is 6.18 states/eV per cell. The size of the total moment comes out at 0.002 μB/f.u.

The structure belongs to space group Cmmm (No. 65); the cell edges are 7.120, 7.383 and 3.310 Å and the angles 90.00°, 90.00° and 90.00°. The asymmetric unit holds In at (0.000, 0.000, 0.000), Se at (0.000, 0.500, 0.000) and Cl at (0.250, 0.250, 0.500).

Going by the energies, #b is most stable and the next is 1.6 kJ/mol of atoms up.

#a
Entry from Alexandria: crystalline InSeCl2 at its relaxed geometry (PBEsol).

Its density of states at the Fermi level is 5.32 states/eV per cell. The size of the total moment comes out at 0.385 μB/f.u.

The structure belongs to space group Cmmm (No. 65); the cell edges are 5.452, 12.059 and 3.416 Å and the angles 90.00°, 90.00° and 90.00°. The asymmetric unit holds In at (0.000, 0.000, 0.000), Se at (0.000, 0.500, 0.000) and Cl at (0.000, 0.152, 0.500).

#b
Entry from Alexandria: crystalline InSeCl2 at its relaxed geometry (PBEsol).

Its density of states at the Fermi level is 4.98 states/eV per cell. The size of the total moment comes out at 0.000 μB/f.u.

The structure belongs to space group R-3m (No. 166, hexagonal axes); the cell edges are 3.4100, 3.4100 and 28.1405 Å and the angles 90.00°, 90.00° and 120.00°. The asymmetric unit holds In at (0.0000, 0.0000, 0.0000), Se at (0.0000, 0.0000, 0.5000) and Cl at (0.0000, 0.0000, 0.4155).

#c
Entry from Alexandria: crystalline InSeCl2 at its relaxed geometry (PBEsol).

Its density of states at the Fermi level is 6.01 states/eV per cell. The size of the total moment comes out at 0.003 μB/f.u.

The structure belongs to space group I4/mmm (No. 139); the cell edges are 4.351, 4.351 and 8.776 Å and the angles 90.00°, 90.00° and 90.00°. The asymmetric unit holds In at (0.000, 0.000, 0.000), Se at (0.000, 0.000, 0.500) and Cl at (0.000, 0.500, 0.250).

Going by the energies, #a is most stable and the next is 24.8 kJ/mol of atoms up.

#a
Entry from Alexandria: crystalline In2SiCl at its relaxed geometry (PBEsol).

Its density of states at the Fermi level is 1.33 states/eV per cell. The size of the total moment comes out at 0.000 μB/f.u.

The structure belongs to space group Pmmm (No. 47); the cell edges are 3.527, 4.628 and 5.644 Å and the angles 90.00°, 90.00° and 90.00°. The asymmetric unit holds In at (0.000, 0.000, 0.000), In at (0.500, 0.500, 0.500), Si at (0.000, 0.000, 0.500) and Cl at (0.500, 0.500, 0.000).

#b
Entry from Alexandria: crystalline In2SiCl at its relaxed geometry (PBEsol).

Its density of states at the Fermi level is 1.61 states/eV per cell. The size of the total moment comes out at 0.000 μB/f.u.

The structure belongs to space group P4/mmm (No. 123); the cell edges are 3.404, 3.404 and 7.614 Å and the angles 90.00°, 90.00° and 90.00°. The asymmetric unit holds In at (0.000, 0.000, 0.228), Si at (0.500, 0.500, 0.000) and Cl at (0.500, 0.500, 0.500).

Going by the energies, #a is most stable and the next is 12.4 kJ/mol of atoms up.

#a
Entry from Alexandria: crystalline InSiCl2 at its relaxed geometry (PBEsol).

Its density of states at the Fermi level is 2.74 states/eV per cell. The size of the total moment comes out at 0.000 μB/f.u.

The structure belongs to space group Immm (No. 71); the cell edges are 3.470, 5.480 and 9.256 Å and the angles 90.00°, 90.00° and 90.00°. The asymmetric unit holds In at (0.000, 0.000, 0.000), Si at (0.000, 0.000, 0.500) and Cl at (0.000, 0.500, 0.200).

#b
Entry from Alexandria: crystalline InSiCl2 at its relaxed geometry (PBEsol).

Its density of states at the Fermi level is 13.93 states/eV per cell. The size of the total moment comes out at 0.002 μB/f.u.

The structure belongs to space group F-43m (No. 216); the cell edges are 6.900, 6.900 and 6.900 Å and the angles 90.00°, 90.00° and 90.00°. The asymmetric unit holds In at (0.000, 0.000, 0.000), Si at (0.250, 0.250, 0.750), Cl at (0.000, 0.000, 0.500) and Cl at (0.250, 0.250, 0.250).

Going by the energies, #a is most stable and the next is 36.7 kJ/mol of atoms up.

#a
Entry from Alexandria: crystalline SrInCl2 at its relaxed geometry (PBEsol).

Its density of states at the Fermi level is 3.80 states/eV per cell. The size of the total moment comes out at 0.001 μB/f.u.

The structure belongs to space group C2/m (No. 12); the cell edges are 7.149, 8.520 and 5.106 Å and the angles 90.00°, 127.20° and 90.00°. The asymmetric unit holds Sr at (0.000, 0.000, 0.000), In at (0.000, 0.500, 0.000) and Cl at (0.250, 0.250, 0.500).

#b
Entry from Alexandria: crystalline SrInCl2 at its relaxed geometry (PBEsol).

Its density of states at the Fermi level is 2.66 states/eV per cell. The size of the total moment comes out at 0.034 μB/f.u.

The structure belongs to space group Pmmm (No. 47); the cell edges are 4.010, 4.419 and 5.982 Å and the angles 90.00°, 90.00° and 90.00°. The asymmetric unit holds Sr at (0.000, 0.000, 0.000), In at (0.500, 0.000, 0.500), Cl at (0.000, 0.500, 0.500) and Cl at (0.500, 0.500, 0.000).

#c
Entry from Alexandria: crystalline SrInCl2 at its relaxed geometry (PBEsol).

Its density of states at the Fermi level is 1.48 states/eV per cell. The size of the total moment comes out at 0.000 μB/f.u.

The structure belongs to space group P4/mmm (No. 123); the cell edges are 3.516, 3.516 and 9.572 Å and the angles 90.00°, 90.00° and 90.00°. The asymmetric unit holds Sr at (0.000, 0.000, 0.000), In at (0.000, 0.000, 0.500) and Cl at (0.500, 0.500, 0.169).

Going by the energies, #c is most stable and the next is 13.5 kJ/mol of atoms up.